Entry 1:
A relaxed La4PtSe3 crystal. Source: Alexandria, functional GGA-PBE.

The structure in extended XYZ format:
```
8
Lattice="4.2431 0.0000 0.0000 0.0000 7.1444 -2.4593 0.0000 -0.0814 7.5553" Properties=species:S:1:pos:R:3 pbc="T T T"
La 0.0000 5.3950 3.8926
Se 0.0000 3.5722 -1.2296
La 0.0000 1.6680 1.2035
Se 2.1216 3.5315 2.5480
La 2.1216 1.7314 5.0429
Se 0.0000 -0.0407 3.7777
La 2.1216 5.3316 0.0532
Pt 2.1216 0.0000 0.0000
```

Entry 2:
4
Lattice="-5.2580 0.0117 -0.0506 1.9318 -0.5214 4.8626 -1.6693 3.5667 2.8297" Properties=species:S:1:pos:R:3 comment="GGA-PBE LaPtSe2, relaxed" relative_energy_mev_per_atom=316 pbc="T T T"
Pt 0.1313 1.5227 3.8462
Se -1.6631 -0.2548 2.4060
Se 0.0000 0.0000 0.0000
La -3.4636 1.7892 1.3895

Entry 3:
A relaxed La8Te4PtSe3 crystal. Source: Alexandria, functional GGA-PBE.

The structure in extended XYZ format:
```
16
Lattice="-2.3501 -8.4721 1.0063 7.7814 -2.5916 -3.6465 0.0498 5.4374 6.9826" Properties=species:S:1:pos:R:3 pbc="T T T"
La 1.5572 -2.7637 -0.6638
Te 0.0000 0.0000 0.0000
Te 0.0249 2.7187 3.4913
Se 2.7157 -5.5319 -1.3201
La 0.3527 -7.1060 -0.1480
Te -1.1501 -1.5174 3.9945
La 3.9373 -5.5375 1.4850
La 5.1284 1.4796 4.4905
Se 2.7406 -2.8132 2.1712
La 3.9239 -2.8626 5.0063
La 5.1049 -1.3078 0.9118
La 1.5438 -0.0888 2.8574
Pt 3.8907 -1.2958 -1.8232
Te -1.1750 -4.2361 0.5032
La 0.3762 -4.3186 3.4307
Se 3.9156 1.4229 1.6681
```

Computed ΔE_f (raw), in the same sequence as the records: -1.7734 -0.8767 -1.6998 eV per atom.